This record from the Alexandria database describes a relaxed structure of Ta2ZnSi. The functional is GGA-PBE.

Calculated values
Total DFT energy (no corrections): -0.56508 Ry/atom
Uncorrected formation energy: -0.35 eV per formula unit

Lattice parameters (Å, degrees): 5.986 4.886 2.836 84.71 71.13 121.25
Sites, in units of the cell vectors:
Si 0.500 0.500 0.000
Ta 0.000 0.000 0.000
Ta 0.500 0.000 0.500
Zn 0.000 0.500 0.500